! Pr2Nd3Y8 GGA-PBE relaxed; values from VASP
! Density ... 5.16 g/cm3
! Energy above the lowest structure with this stoichiometry ... 0.000 eV per formula unit
! Final energy ... -72.60 eV for the cell shown
! Density of states at the Fermi level ... 17.790 states/eV/cell
! Energy relative to the elements ... 0.229 eV/atom
! M_tot ... 0.00 μB per formula unit
&SYSTEM
  ibrav = 0, nat = 13, ntyp = 3
/
ATOMIC_SPECIES
Pr 140.91 Pr.upf
Nd 144.24 Nd.upf
Y 88.91 Y.upf
ATOMIC_POSITIONS crystal
Pr 0.4915 0.2158 0.2158
Pr 0.5085 0.7842 0.7842
Nd 0.5000 0.0000 0.0000
Nd 0.0000 0.1750 0.8250
Nd 0.0000 0.8250 0.1750
Y 0.0608 0.5838 0.5838
Y 0.9392 0.4162 0.4162
Y 0.0132 0.1919 0.1919
Y 0.9868 0.8081 0.8081
Y 0.5609 0.5620 0.2018
Y 0.5609 0.2018 0.5620
Y 0.4391 0.7982 0.4380
Y 0.4391 0.4380 0.7982
CELL_PARAMETERS angstrom
6.4877 0.5617 2.5550
2.5453 8.1640 4.4816
1.2051 0.5212 9.5651



! MnHg2 GGA-PBE relaxed; values from VASP
! Density ... 12.44 g/cm3
! Final energy ... -35.05 eV for the cell shown
! Density of states at the Fermi level ... 8.123 states/eV/cell
! Energy relative to the elements ... 0.337 eV/atom
! M_tot ... 4.02 μB per formula unit
&SYSTEM
  ibrav = 0, nat = 12, ntyp = 2
/
ATOMIC_SPECIES
Mn 54.94 Mn.upf
Hg 200.59 Hg.upf
ATOMIC_POSITIONS crystal
Mn 0.0852 0.0852 0.1704
Mn 0.9148 0.9148 0.8296
Mn 0.3352 0.8352 0.6704
Mn 0.1648 0.6648 0.3296
Hg 0.2510 0.2510 0.5019
Hg 0.7490 0.7490 0.4981
Hg 0.5010 0.0010 0.0019
Hg 0.9990 0.4990 0.9981
Hg 0.4130 0.4130 0.8259
Hg 0.5870 0.5870 0.1741
Hg 0.6630 0.1630 0.3259
Hg 0.8370 0.3370 0.6741
CELL_PARAMETERS angstrom
4.2393 0.0000 0.0000
0.0000 4.2393 0.0000
-2.1196 -2.1196 13.5488



! Li2CaEr GGA-PBE relaxed; values from VASP
! Density ... 3.33 g/cm3
! Energy above the lowest structure with this stoichiometry ... 0.000 eV per formula unit
! Final energy ... -9.95 eV for the cell shown
! Density of states at the Fermi level ... 3.000 states/eV/cell
! Energy relative to the elements ... 0.112 eV/atom
! M_tot ... 0.00 μB per formula unit
&SYSTEM
  ibrav = 0, nat = 4, ntyp = 3
/
ATOMIC_SPECIES
Ca 40.08 Ca.upf
Li 6.94 Li.upf
Er 167.26 Er.upf
ATOMIC_POSITIONS crystal
Ca 0.5000 0.5000 0.5000
Li 0.0000 0.0000 0.7661
Li 0.0000 0.0000 0.2339
Er 0.5000 0.5000 0.0000
CELL_PARAMETERS angstrom
-2.7026 0.9662 2.4618
0.4002 -3.3299 1.7462
5.3380 3.0806 4.6512



! CoSiHg4 GGA-PBE relaxed; values from VASP
! Density ... 10.99 g/cm3
! Final energy ... -8.62 eV for the cell shown
! Density of states at the Fermi level ... 5.432 states/eV/cell
! Formation energy from raw total energies ... 0.853 eV per atom
! M_tot ... 1.69 μB per formula unit
&SYSTEM
  ibrav = 0, nat = 6, ntyp = 3
/
ATOMIC_SPECIES
Co 58.93 Co.upf
Si 28.09 Si.upf
Hg 200.59 Hg.upf
ATOMIC_POSITIONS crystal
Co 0.0000 0.0000 0.0000
Si 0.7500 0.7500 0.7500
Hg 0.3748 0.8756 0.3748
Hg 0.8756 0.3748 0.3748
Hg 0.3748 0.3748 0.8756
Hg 0.3748 0.3748 0.3748
CELL_PARAMETERS angstrom
-5.5060 -1.3394 0.9745
-3.9646 1.0187 -4.0378
-2.4328 -4.3859 -2.8115



! Tc2NiPd GGA-PBE relaxed; values from VASP
! Density ... 10.64 g/cm3
! Energy above the lowest structure with this stoichiometry ... 0.000 eV per formula unit
! Final energy ... -29.86 eV for the cell shown
! Density of states at the Fermi level ... 8.088 states/eV/cell
! Energy relative to the elements ... 0.460 eV/atom
! M_tot ... 0.00 μB per formula unit
&SYSTEM
  ibrav = 0, nat = 4, ntyp = 3
/
ATOMIC_SPECIES
Ni 58.69 Ni.upf
Tc 98.00 Tc.upf
Pd 106.42 Pd.upf
ATOMIC_POSITIONS crystal
Ni 0.0000 0.0000 0.0000
Tc 0.2500 0.2500 0.2500
Tc 0.7500 0.7500 0.7500
Pd 0.5000 0.5000 0.5000
CELL_PARAMETERS angstrom
0.0000 3.0428 3.0428
3.0428 0.0000 3.0428
3.0428 3.0428 0.0000



! TaTl3Cd GGA-PBE relaxed; values from VASP
! Density ... 8.75 g/cm3
! Energy above the lowest structure with this stoichiometry ... 0.000 eV per formula unit
! Final energy ... -16.16 eV for the cell shown
! Density of states at the Fermi level ... 6.352 states/eV/cell
! Energy relative to the elements ... 0.741 eV/atom
! M_tot ... 0.54 μB per formula unit
&SYSTEM
  ibrav = 0, nat = 5, ntyp = 3
/
ATOMIC_SPECIES
Tl 204.38 Tl.upf
Cd 112.41 Cd.upf
Ta 180.95 Ta.upf
ATOMIC_POSITIONS crystal
Tl 0.0000 0.5000 0.0000
Tl 0.0000 0.0000 0.5000
Tl 0.5000 0.0000 0.0000
Cd 0.5000 0.5000 0.5000
Ta 0.0000 0.0000 0.0000
CELL_PARAMETERS angstrom
5.5608 0.0000 0.0000
0.0000 5.5608 0.0000
0.0000 0.0000 5.5608



! AcThSe GGA-PBE relaxed; values from VASP
! Density ... 8.62 g/cm3
! Energy above the lowest structure with this stoichiometry ... 0.137 eV per formula unit
! Final energy ... -17.61 eV for the cell shown
! Density of states at the Fermi level ... 3.882 states/eV/cell
! Formation energy from raw total energies ... -0.866 eV per atom
! M_tot ... 0.81 μB per formula unit
&SYSTEM
  ibrav = 0, nat = 3, ntyp = 3
/
ATOMIC_SPECIES
Ac 227.00 Ac.upf
Se 78.96 Se.upf
Th 232.04 Th.upf
ATOMIC_POSITIONS crystal
Ac 0.0000 0.0000 0.9526
Se 0.3333 0.6667 0.6537
Th 0.6667 0.3333 0.3937
CELL_PARAMETERS angstrom
-0.4567 -3.8290 -1.3794
0.2443 0.7107 4.0259
-7.0915 0.7377 0.3001



! Cs2In2Au3 GGA-PBE relaxed; values from VASP
! Density ... 6.77 g/cm3
! Energy above the lowest structure with this stoichiometry ... 0.000 eV per formula unit
! Final energy ... -37.98 eV for the cell shown
! Density of states at the Fermi level ... 7.712 states/eV/cell
! Energy relative to the elements ... -0.282 eV/atom
! M_tot ... 0.00 μB per formula unit
&SYSTEM
  ibrav = 0, nat = 14, ntyp = 3
/
ATOMIC_SPECIES
Cs 132.91 Cs.upf
In 114.82 In.upf
Au 196.97 Au.upf
ATOMIC_POSITIONS crystal
Cs 0.1983 0.1012 0.5954
Cs 0.8017 0.6012 0.9046
Cs 0.8017 0.8988 0.4046
Cs 0.1983 0.3988 0.0954
In 0.3519 0.9021 0.9492
In 0.6481 0.4021 0.5508
In 0.6481 0.0979 0.0508
In 0.3519 0.5979 0.4492
Au 0.4223 0.6671 0.7185
Au 0.5777 0.1671 0.7815
Au 0.5777 0.3329 0.2815
Au 0.4223 0.8329 0.2185
Au 0.0000 0.0000 0.0000
Au 0.0000 0.5000 0.5000
CELL_PARAMETERS angstrom
-1.2319 -7.3415 -2.4801
7.7617 -1.5013 0.5888
-1.6476 -5.7681 7.0120



! BC2 GGA-PBE relaxed; values from VASP
! Density ... 3.05 g/cm3
! Energy above the lowest structure with this stoichiometry ... 0.231 eV per formula unit
! Final energy ... -96.70 eV for the cell shown
! Density of states at the Fermi level ... 1.344 states/eV/cell
! Energy relative to the elements ... 0.317 eV/atom
! M_tot ... 0.00 μB per formula unit
&SYSTEM
  ibrav = 0, nat = 12, ntyp = 2
/
ATOMIC_SPECIES
B 10.81 B.upf
C 12.01 C.upf
ATOMIC_POSITIONS crystal
B 0.4826 0.4826 0.3837
B 0.3336 0.3336 0.1287
B 0.1809 0.1809 0.2273
B 0.6705 0.6705 0.8355
C 0.6607 0.6607 0.3499
C 0.0112 0.0112 0.9872
C 0.8529 0.8529 0.0314
C 0.5001 0.5001 0.8705
C 0.3295 0.3295 0.6718
C 0.1618 0.1618 0.6943
C 0.9898 0.9898 0.5180
C 0.8266 0.8266 0.5516
CELL_PARAMETERS angstrom
3.9597 -0.0334 -2.0006
3.1478 2.4025 -2.0006
-0.0429 -0.0143 7.9118



! VGaB GGA-PBE relaxed; values from VASP
! Density ... 6.31 g/cm3
! Final energy ... -76.16 eV for the cell shown
! Density of states at the Fermi level ... 6.286 states/eV/cell
! Energy relative to the elements ... -0.073 eV/atom
! M_tot ... 0.00 μB per formula unit
&SYSTEM
  ibrav = 0, nat = 12, ntyp = 3
/
ATOMIC_SPECIES
B 10.81 B.upf
V 50.94 V.upf
Ga 69.72 Ga.upf
ATOMIC_POSITIONS crystal
B 0.1366 0.2221 0.2043
B 0.2265 0.1402 0.9025
B 0.7071 0.4797 0.0850
B 0.2773 0.9023 0.7433
V 0.0442 0.6193 0.2080
V 0.4676 0.6018 0.8357
V 0.3885 0.0122 0.2607
V 0.9526 0.9556 0.6973
Ga 0.0242 0.4710 0.7661
Ga 0.7693 0.9226 0.2696
Ga 0.6469 0.2110 0.6305
Ga 0.3668 0.4623 0.3972
CELL_PARAMETERS angstrom
-1.5756 3.2100 5.3752
-0.7029 -4.9264 1.0284
3.3970 -1.6587 3.3567



! Er2PuHg4 GGA-PBE relaxed; values from VASP
! Density ... 11.91 g/cm3
! Final energy ... -26.14 eV for the cell shown
! Density of states at the Fermi level ... 11.743 states/eV/cell
! Energy relative to the elements ... -0.210 eV/atom
! M_tot ... 6.10 μB per formula unit
&SYSTEM
  ibrav = 0, nat = 7, ntyp = 3
/
ATOMIC_SPECIES
Pu 244.00 Pu.upf
Hg 200.59 Hg.upf
Er 167.26 Er.upf
ATOMIC_POSITIONS crystal
Pu 0.5000 0.5000 0.0000
Hg 0.5000 0.0000 0.2666
Hg 0.0000 0.5000 0.7334
Hg 0.5000 0.0000 0.7334
Hg 0.0000 0.5000 0.2666
Er 0.0000 0.0000 0.0000
Er 0.5000 0.5000 0.5000
CELL_PARAMETERS angstrom
-4.6826 -1.5627 1.6869
1.1291 -4.8965 -1.4016
2.7168 -1.2110 6.4195



! Sc2BeHg GGA-PBE relaxed; values from VASP
! Density ... 6.62 g/cm3
! Energy above the lowest structure with this stoichiometry ... 0.000 eV per formula unit
! Final energy ... -17.64 eV for the cell shown
! Density of states at the Fermi level ... 2.363 states/eV/cell
! Energy relative to the elements ... -0.237 eV/atom
! M_tot ... 0.00 μB per formula unit
&SYSTEM
  ibrav = 0, nat = 4, ntyp = 3
/
ATOMIC_SPECIES
Sc 44.96 Sc.upf
Be 9.01 Be.upf
Hg 200.59 Hg.upf
ATOMIC_POSITIONS crystal
Sc 0.0000 0.0000 0.0325
Sc 0.0000 0.0000 0.4675
Be 0.5000 0.5000 0.2500
Hg 0.5000 0.5000 0.7500
CELL_PARAMETERS angstrom
-0.8508 0.7387 -3.0903
-3.1761 -0.1162 0.8476
0.1714 6.7659 1.5701